Entry 1:
A relaxed HfTlCuPt crystal. Source: OQMD, functional PBE.

Unit cell a=6.576 b=6.576 c=6.576 alpha=90.00 beta=90.00 gamma=90.00
Space group F-43m (No. 216)
Unique sites:
Hf (0.000, 0.000, 0.000) x4
Tl (0.000, 0.000, 0.500) x4
Cu (0.250, 0.250, 0.750) x4
Pt (0.250, 0.250, 0.250) x4

Values from the calculation:
Total DFT energy (no corrections) = -93.3 eV/cell



Entry 2:
A relaxed YHfCuPt crystal. Source: OQMD, functional PBE.

Unit cell a=6.767 b=6.767 c=6.767 alpha=90.00 beta=90.00 gamma=90.00
Space group F-43m (No. 216)
Unique sites:
Y (0.000, 0.000, 0.000) x4
Hf (0.000, 0.000, 0.500) x4
Cu (0.250, 0.250, 0.250) x4
Pt (0.250, 0.250, 0.750) x4

Values from the calculation:
Total DFT energy (no corrections) = -114.2 eV/cell



Entry 3:
A relaxed YHfCuPt crystal. Source: OQMD, functional PBE.

Unit cell a=6.597 b=6.597 c=6.597 alpha=90.00 beta=90.00 gamma=90.00
Space group F-43m (No. 216)
Unique sites:
Y (0.000, 0.000, 0.000) x4
Hf (0.250, 0.250, 0.750) x4
Cu (0.250, 0.250, 0.250) x4
Pt (0.000, 0.000, 0.500) x4

Values from the calculation:
Total DFT energy (no corrections) = -111.1 eV/cell



Entry 4:
A relaxed Hf3Zn3CuPt2 crystal. Source: OQMD, functional PBE.

Unit cell a=7.1521 b=7.1521 c=3.4329 alpha=90.00 beta=90.00 gamma=120.00
Space group P-62m (No. 189)
Unique sites:
Hf (0.0000, 0.5955, 0.0000) x3
Zn (0.0000, 0.2523, 0.5000) x3
Cu (0.0000, 0.0000, 0.0000) x1
Pt (0.3333, 0.6667, 0.5000) x2

Values from the calculation:
Total DFT energy (no corrections) = -55.4 eV/cell



Entry 5:
A relaxed Hf3Zn3Cu2Pt crystal. Source: OQMD, functional PBE.

Unit cell a=6.8752 b=6.8752 c=3.5964 alpha=90.00 beta=90.00 gamma=120.00
Space group P-62m (No. 189)
Unique sites:
Hf (0.0000, 0.5976, 0.0000) x3
Zn (0.0000, 0.2716, 0.5000) x3
Cu (0.3333, 0.6667, 0.5000) x2
Pt (0.0000, 0.0000, 0.0000) x1

Values from the calculation:
Total DFT energy (no corrections) = -50.5 eV/cell



Entry 6:
A relaxed RbHfCuSeS2 crystal. Source: OQMD, functional PBE.

Unit cell a=3.778 b=15.202 c=10.030 alpha=90.00 beta=90.00 gamma=90.00
Space group Cmcm (No. 63)
Unique sites:
Rb (0.000, 0.245, 0.250) x4
Hf (0.000, 0.000, 0.000) x4
Cu (0.000, 0.465, 0.750) x4
Se (0.000, 0.068, 0.750) x4
S (0.000, 0.389, 0.553) x8

Values from the calculation:
Total DFT energy (no corrections) = -134.7 eV/cell



Entry 7:
A relaxed RbHfCuSe2S crystal. Source: OQMD, functional PBE.

Unit cell a=3.860 b=15.335 c=9.919 alpha=90.00 beta=90.00 gamma=90.00
Space group Cmcm (No. 63)
Unique sites:
Rb (0.000, 0.240, 0.250) x4
Hf (0.000, 0.500, 0.000) x4
Cu (0.000, 0.031, 0.750) x4
Se (0.000, 0.119, 0.548) x8
S (0.000, 0.446, 0.750) x4

Values from the calculation:
Total DFT energy (no corrections) = -131.1 eV/cell



Entry 8:
A relaxed RbHfCuTeS2 crystal. Source: OQMD, functional PBE.

Unit cell a=3.826 b=16.182 c=10.380 alpha=90.00 beta=90.00 gamma=90.00
Space group Cmcm (No. 63)
Unique sites:
Rb (0.000, 0.221, 0.250) x4
Hf (0.000, 0.000, 0.000) x4
Cu (0.000, 0.477, 0.750) x4
Te (0.000, 0.086, 0.750) x4
S (0.000, 0.401, 0.564) x8

Values from the calculation:
Total DFT energy (no corrections) = -130.1 eV/cell



Entry 9:
A relaxed RbHfCu3Se4 crystal. Source: OQMD, functional PBE.

Unit cell a=5.899 b=7.754 c=10.130 alpha=90.00 beta=106.45 gamma=90.00
Space group P2_1/m (No. 11)
Unique sites:
Rb (0.199, 0.250, 0.382) x2
Hf (0.143, 0.250, 0.789) x2
Cu (0.285, 0.518, 0.003) x4
Cu (0.354, 0.750, 0.206) x2
Se (0.025, 0.250, 0.014) x2
Se (0.215, 0.750, 0.412) x2
Se (0.393, 0.515, 0.782) x4

Values from the calculation:
Total DFT energy (no corrections) = -85.5 eV/cell



Entry 10:
A relaxed RbHfCu3Se4 crystal. Source: OQMD, functional PBE.

Unit cell a=6.297 b=6.297 c=6.297 alpha=90.00 beta=90.00 gamma=90.00
Space group P-43m (No. 215)
Unique sites:
Rb (0.000, 0.000, 0.000) x1
Hf (0.500, 0.500, 0.500) x1
Cu (0.000, 0.500, 0.500) x3
Se (0.274, 0.274, 0.274) x4

Values from the calculation:
Total DFT energy (no corrections) = -41.6 eV/cell



Entry 11:
A relaxed RbHfCuTe3 crystal. Source: OQMD, functional PBE.

Unit cell a=16.559 b=4.172 c=11.090 alpha=90.00 beta=90.00 gamma=90.00
Space group Pnma (No. 62)
Unique sites:
Rb (0.234, 0.250, 0.040) x4
Hf (0.014, 0.250, 0.321) x4
Cu (0.010, 0.750, 0.098) x4
Te (0.087, 0.250, 0.568) x4
Te (0.087, 0.750, 0.881) x4
Te (0.128, 0.750, 0.258) x4

Values from the calculation:
Total DFT energy (no corrections) = -114.8 eV/cell



Entry 12:
A relaxed RbHfCuTe3 crystal. Source: OQMD, functional PBE.

Unit cell a=4.129 b=16.411 c=10.918 alpha=90.00 beta=90.00 gamma=90.00
Space group Cmcm (No. 63)
Unique sites:
Rb (0.000, 0.250, 0.250) x4
Hf (0.000, 0.000, 0.000) x4
Cu (0.000, 0.467, 0.750) x4
Te (0.000, 0.065, 0.750) x4
Te (0.000, 0.379, 0.551) x8

Values from the calculation:
Total DFT energy (no corrections) = -114.5 eV/cell



Entry 13:
A relaxed RbHfCuTe3 crystal. Source: OQMD, functional PBE.

Unit cell a=11.102 b=4.138 c=16.228 alpha=90.00 beta=90.00 gamma=90.00
Space group Pnma (No. 62)
Unique sites:
Rb (0.232, 0.250, 0.000) x4
Hf (0.036, 0.750, 0.252) x4
Cu (0.245, 0.250, 0.287) x4
Te (0.043, 0.750, 0.863) x4
Te (0.055, 0.250, 0.378) x4
Te (0.229, 0.250, 0.688) x4

Values from the calculation:
Total DFT energy (no corrections) = -114.6 eV/cell



Entry 14:
A relaxed RbHfCuTe3 crystal. Source: OQMD, functional PBE.

Unit cell a=13.776 b=4.234 c=13.585 alpha=90.00 beta=90.00 gamma=90.00
Space group Pnma (No. 62)
Unique sites:
Rb (0.199, 0.250, 0.057) x4
Hf (0.043, 0.250, 0.346) x4
Cu (0.177, 0.750, 0.283) x4
Te (0.016, 0.750, 0.193) x4
Te (0.078, 0.250, 0.566) x4
Te (0.245, 0.750, 0.842) x4

Values from the calculation:
Total DFT energy (no corrections) = -112.1 eV/cell



Entry 15:
A relaxed HfCuRe2 crystal. Source: OQMD, functional PBE.

Unit cell a=6.291 b=6.291 c=6.291 alpha=90.00 beta=90.00 gamma=90.00
Space group F-43m (No. 216)
Unique sites:
Hf (0.000, 0.000, 0.000) x4
Cu (0.250, 0.250, 0.750) x4
Re (0.000, 0.000, 0.500) x4
Re (0.250, 0.250, 0.250) x4

Values from the calculation:
Total DFT energy (no corrections) = -153.4 eV/cell



Entry 16:
A relaxed HfCuRe crystal. Source: OQMD, functional PBE.

Unit cell a=5.943 b=5.943 c=5.943 alpha=90.00 beta=90.00 gamma=90.00
Space group F-43m (No. 216)
Unique sites:
Hf (0.000, 0.000, 0.000) x4
Cu (0.250, 0.250, 0.250) x4
Re (0.000, 0.000, 0.500) x4

Values from the calculation:
Total DFT energy (no corrections) = -98.1 eV/cell



Entry 17:
A relaxed HfCu2Re crystal. Source: OQMD, functional PBE.

Unit cell a=6.259 b=6.259 c=6.259 alpha=90.00 beta=90.00 gamma=90.00
Space group F-43m (No. 216)
Unique sites:
Hf (0.000, 0.000, 0.000) x4
Cu (0.000, 0.000, 0.500) x4
Cu (0.250, 0.250, 0.250) x4
Re (0.250, 0.250, 0.750) x4

Values from the calculation:
Total DFT energy (no corrections) = -114.3 eV/cell



Entry 18:
A relaxed HfCuRe2 crystal. Source: OQMD, functional PBE.

Unit cell a=6.288 b=6.288 c=6.288 alpha=90.00 beta=90.00 gamma=90.00
Space group F-43m (No. 216)
Unique sites:
Hf (0.000, 0.000, 0.000) x4
Cu (0.250, 0.250, 0.750) x4
Re (0.000, 0.000, 0.500) x4
Re (0.250, 0.250, 0.250) x4

Values from the calculation:
Total DFT energy (no corrections) = -153.4 eV/cell



Entry 19:
A relaxed HfCuRe crystal. Source: OQMD, functional PBE.

Unit cell a=6.149 b=6.149 c=6.149 alpha=90.00 beta=90.00 gamma=90.00
Space group F-43m (No. 216)
Unique sites:
Hf (0.000, 0.000, 0.000) x4
Cu (0.250, 0.250, 0.750) x4
Re (0.250, 0.250, 0.250) x4

Values from the calculation:
Total DFT energy (no corrections) = -91.8 eV/cell



Entry 20:
A relaxed HfCuReSb crystal. Source: OQMD, functional PBE.

Unit cell a=6.499 b=6.499 c=6.499 alpha=90.00 beta=90.00 gamma=90.00
Space group F-43m (No. 216)
Unique sites:
Hf (0.000, 0.000, 0.000) x4
Cu (0.250, 0.250, 0.750) x4
Re (0.250, 0.250, 0.250) x4
Sb (0.000, 0.000, 0.500) x4

Values from the calculation:
Total DFT energy (no corrections) = -118.9 eV/cell